Entry from Alexandria via LeMat-Bulk: a relaxed structure of Cs2SiCl4 (PBE).

abc: 5.2413 5.2413 9.4298
angles: 73.86 73.86 90.00
Fractional coordinates of all 7 atoms:
Cl: 0.1517 0.1517 0.6966
Cl: 0.8483 0.8483 0.3034
Cl: 0.0000 0.5000 0.0000
Cl: 0.5000 0.0000 0.0000
Si: 0.0000 0.0000 0.0000
Cs: 0.3570 0.3570 0.2861
Cs: 0.6430 0.6430 0.7139

Computed properties:
Raw formation energy, eV per formula unit: -9.823



Entry from Alexandria via LeMat-Bulk: a relaxed structure of CsSiCl2 (PBE).

abc: 6.3100 6.3100 9.2397
angles: 70.03 70.03 90.00
Site moments in Bohr magnetons follow the coordinates.
Fractional coordinates of all 8 atoms:
Cl: 0.3750 0.4930 0.7500  0.00
Cl: 0.2430 0.6250 0.2500  0.00
Cl: 0.8750 0.7570 0.7500  0.02
Cl: 0.5070 0.1250 0.2500  0.00
Cs: 0.7500 0.2500 0.5000  0.01
Cs: 0.0000 0.0000 0.0000  0.01
Si: 0.2500 0.7500 0.5000  0.28
Si: 0.5000 0.5000 0.0000  0.28

Computed properties:
Raw formation energy, eV per formula unit: -2.414
Density of states at the Fermi level, states/eV/atom: 0.0029



Entry from Alexandria via LeMat-Bulk: a relaxed structure of CsSiCl5 (PBE).

abc: 7.5392 7.4366 7.4366
angles: 55.21 59.54 59.54
Fractional coordinates of all 7 atoms:
Cl: 0.5000 0.7643 0.2357
Cl: 0.7470 0.3123 0.6877
Cl: 0.2945 0.6629 0.7481
Cl: 0.2530 0.3123 0.6877
Cl: 0.7055 0.2519 0.3371
Cs: 0.0000 0.7701 0.2299
Si: 0.5000 0.4571 0.5429

Computed properties:
Raw formation energy, eV per formula unit: -9.385
Density of states at the Fermi level, states/eV/atom: 0.0000



Entry from Alexandria via LeMat-Bulk: a relaxed structure of CsSiCl2 (PBE).

abc: 9.1727 9.1727 9.1727
angles: 31.77 31.77 31.77
Site moments in Bohr magnetons follow the coordinates.
Fractional coordinates of all 4 atoms:
Si: 0.0000 0.0000 0.0000  0.26
Cl: 0.0936 0.0936 0.0936  0.02
Cl: 0.9064 0.9064 0.9064  0.02
Cs: 0.5000 0.5000 0.5000  0.00

Computed properties:
Raw formation energy, eV per formula unit: -2.550
Density of states at the Fermi level, states/eV/atom: 0.3881



Entry from Alexandria via LeMat-Bulk: a relaxed structure of CsSi2Cl (PBE).

abc: 5.4132 5.4132 5.4132
angles: 60.00 60.00 60.00
Fractional coordinates of all 4 atoms:
Cl: 0.0000 0.0000 0.0000
Si: 0.7500 0.7500 0.7500
Si: 0.2500 0.2500 0.2500
Cs: 0.5000 0.5000 0.5000

Computed properties:
Raw formation energy, eV per formula unit: 3.879
Density of states at the Fermi level, states/eV/atom: 1.3171



Entry from Alexandria via LeMat-Bulk: a relaxed structure of Cs3SiCl (PBE).

abc: 6.5405 6.5405 6.5405
angles: 90.00 90.00 90.00
Site moments in Bohr magnetons follow the coordinates.
Fractional coordinates of all 5 atoms:
Si: 0.5000 0.5000 0.5000  0.43
Cs: 0.0000 0.0000 0.5000  0.01
Cs: 0.0000 0.5000 0.0000  0.01
Cs: 0.5000 0.0000 0.0000  0.02
Cl: 0.0000 0.0000 0.0000  0.00

Computed properties:
Raw formation energy, eV per formula unit: -1.961
Density of states at the Fermi level, states/eV/atom: 0.4805